VASP calculation (PBE) on a relaxed structure of In5Sn2Pb12.

a b c (Å): 10.091 10.091 9.548
angles (deg): 101.23 101.23 40.99
Element x y z (fractional)
In: 0.000 0.000 0.000
In: 0.253 0.253 0.022
In: 0.397 0.397 0.603
In: 0.603 0.603 0.397
In: 0.747 0.747 0.978
Sn: 0.224 0.776 0.500
Sn: 0.776 0.224 0.500
Pb: 0.049 0.528 0.350
Pb: 0.098 0.098 0.776
Pb: 0.134 0.609 0.870
Pb: 0.391 0.866 0.130
Pb: 0.424 0.424 0.200
Pb: 0.472 0.951 0.650
Pb: 0.528 0.049 0.350
Pb: 0.576 0.576 0.800
Pb: 0.609 0.134 0.870
Pb: 0.866 0.391 0.130
Pb: 0.902 0.902 0.224
Pb: 0.951 0.472 0.650

Output
The total magnetic moment comes out at 0.000 μB per atom. The crystal system is monoclinic. As for the formation energy: 0.10 eV/atom. As for the space group: No. 12. The final energy comes out at -64.29 eV per cell. The value obtained for the theoretical density is 8.78 g/cm³.